A relaxed BaAc2Cl8 crystal, computed with GGA-PBE.

Cell lengths 8.9917, 13.2294, 5.6298 Å; angles 90.00, 103.49, 90.00 degrees
Last column: nearest neighbours and their distance in Å.
Space group C2/m (No. 12)
Symmetry-distinct sites (fractional):
Ba: 0.0000 0.0000 0.0000 (multiplicity 2)  4 Cl 3.18-3.29
Ac: 0.0000 0.3186 0.5000 (multiplicity 4)  8 Cl 2.99-3.02
Cl: 0.0000 0.2405 0.0000 (multiplicity 4)  2 Ac 3.00, 1 Ba 3.18
Cl: 0.1249 0.5000 0.8064 (multiplicity 4)  2 Ac 3.02, 1 Ba 3.29
Cl: 0.1913 0.1308 0.5809 (multiplicity 8)  2 Ac 2.99, 1 Cl 3.35

Values from the calculation:
theoretical density: 4.46 Mg/m³
DOS(E_F): 0.000 states/eV/cell
raw total energy: -4.721 eV/atom
formation energy (no corrections): -237.0 kJ per mole of atoms
calculated volume: 651 Å³/cell